Material: Pm6SiBi2
Method: DFT, GGA-PBE
State: optimized geometry

Properties
Volume ... 30.69 Å³/atom
Raw formation energy ... -5.488 eV per formula unit

a b c (Å): 8.5517 8.5517 4.3614
angles (deg): 90.00 90.00 120.00
Last column: nearest neighbours and their distance in Å.
Space group P-62m (No. 189)
Symmetry-distinct sites (fractional):
Pm1 0.0000 0.2411 0.0000 x3  2 Si 3.00, 2 Bi 3.32
Pm2 0.0000 0.5987 0.5000 x3  4 Bi 3.40, 1 Si 3.43, 6 Pm 3.70-3.76
Si1 0.0000 0.0000 0.5000 x1  6 Pm 3.00
Bi1 0.3333 0.6667 0.0000 x2  9 Pm 3.32-3.40